# 1
This record from Alexandria via LeMat-Bulk describes Cr2AgIrBr after structural relaxation. The functional is PBE.

Geometry as POSCAR:
```
Cr2AgIrBr
1.0
4.803 0.000 0.000
0.000 5.166 0.000
0.000 0.000 4.803
Cr Ir Br Ag
2 1 1 1
Direct
0.000 0.000 0.500 Cr
0.500 0.000 0.000 Cr
0.000 0.000 0.000 Ir
0.000 0.500 0.000 Br
0.500 0.500 0.500 Ag
```

The uncorrected formation energy is 1054 meV per atom. The space group is P4/mmm. As for the crystal system: tetragonal. The total magnetic moment is 7.1 μB/cell.

***

# 2
This record from Alexandria via LeMat-Bulk describes CrAgIr2Br after structural relaxation. The functional is PBE.

Geometry as POSCAR:
```
CrAgIr2Br
1.0
-4.083 1.165 1.914
-2.330 -2.082 -3.702
-0.067 -4.040 2.315
Cr Ir Br Ag
1 2 1 1
Direct
0.500 0.500 0.500 Cr
0.000 0.000 0.500 Ir
0.500 0.000 0.000 Ir
0.000 0.000 0.000 Br
0.000 0.500 0.000 Ag
```

The uncorrected formation energy is 1661 meV per atom. The space group is P4/mmm. As for the crystal system: tetragonal. The total magnetic moment is 4.6 μB/cell.

***

# 3
This record from Alexandria via LeMat-Bulk describes KCrAg2Br6 after structural relaxation. The functional is PBE.

Geometry as POSCAR:
```
KCrAg2Br6
1.0
7.215 0.000 -0.001
3.607 6.249 -0.001
3.607 2.083 6.568
K Cr Ag Br
1 1 2 6
Direct
0.812 0.812 0.563 K
0.330 0.330 0.010 Cr
0.525 0.526 0.424 Ag
0.000 0.000 0.001 Ag
0.550 0.263 0.228 Br
0.263 0.959 0.228 Br
0.959 0.550 0.228 Br
0.363 0.705 0.777 Br
0.705 0.155 0.777 Br
0.155 0.363 0.777 Br
```

The uncorrected formation energy is -746 meV per atom. The space group is R3. As for the crystal system: trigonal. The total magnetic moment is 3.0 μB/cell.

***

# 4
This record from Alexandria via LeMat-Bulk describes KCrAgBr6 after structural relaxation. The functional is PBE.

Geometry as POSCAR:
```
KCrAgBr6
1.0
-3.272 -5.901 2.283
6.190 -3.143 0.749
-2.760 3.588 5.317
K Cr Ag Br
1 1 1 6
Direct
0.000 0.333 0.667 K
0.500 0.000 0.000 Cr
0.500 0.667 0.333 Ag
0.706 0.720 0.697 Br
0.706 0.303 0.023 Br
0.706 0.977 0.280 Br
0.294 0.303 0.280 Br
0.294 0.720 0.023 Br
0.294 0.977 0.697 Br
```

The uncorrected formation energy is -772 meV per atom. The space group is P312. As for the crystal system: trigonal. The total magnetic moment is 1.9 μB/cell.

***

# 5
This record from Alexandria via LeMat-Bulk describes NaCrAg2Br6 after structural relaxation. The functional is PBE.

Geometry as POSCAR:
```
NaCrAg2Br6
1.0
7.094 0.001 0.000
3.548 6.145 0.000
3.547 2.049 6.311
Na Cr Ag Br
1 1 2 6
Direct
0.817 0.817 0.549 Na
0.327 0.328 0.018 Cr
0.530 0.530 0.411 Ag
0.011 0.011 0.967 Ag
0.556 0.235 0.246 Br
0.235 0.963 0.246 Br
0.963 0.556 0.246 Br
0.405 0.695 0.778 Br
0.695 0.122 0.778 Br
0.122 0.405 0.778 Br
```

The uncorrected formation energy is -708 meV per atom. The space group is R3. As for the crystal system: trigonal. The total magnetic moment is 2.9 μB/cell.

***

# 6
This record from Alexandria via LeMat-Bulk describes Na3CrAg3Br8 after structural relaxation. The functional is PBE.

Geometry as POSCAR:
```
Na3CrAg3Br8
1.0
-5.027 6.546 -1.196
1.074 -5.601 -6.092
-4.307 -2.056 6.849
Na Cr Ag Br
3 1 3 8
Direct
0.000 0.000 0.000 Na
0.000 0.500 0.000 Na
0.500 0.500 0.000 Na
0.000 0.000 0.500 Cr
0.500 0.000 0.500 Ag
0.500 0.500 0.500 Ag
0.000 0.500 0.500 Ag
0.253 0.506 0.260 Br
0.747 0.494 0.740 Br
0.772 0.543 0.276 Br
0.228 0.457 0.724 Br
0.771 0.004 0.276 Br
0.229 0.996 0.724 Br
0.233 0.004 0.276 Br
0.767 0.996 0.724 Br
```

The uncorrected formation energy is -852 meV per atom. The space group is C2/m. As for the crystal system: monoclinic. The total magnetic moment is 4.0 μB/cell.

***

# 7
This record from Alexandria via LeMat-Bulk describes Na2CrAgBr6 after structural relaxation. The functional is PBE.

Geometry as POSCAR:
```
Na2CrAgBr6
1.0
-0.523 -6.054 3.847
4.754 -5.309 -0.980
5.062 -1.323 5.326
Na Cr Ag Br
2 1 1 6
Direct
0.530 0.530 0.410 Na
0.017 0.017 0.948 Na
0.326 0.326 0.021 Cr
0.816 0.817 0.550 Ag
0.561 0.205 0.253 Br
0.205 0.981 0.253 Br
0.981 0.561 0.252 Br
0.436 0.678 0.776 Br
0.678 0.109 0.776 Br
0.109 0.437 0.776 Br
```

The uncorrected formation energy is -960 meV per atom. The space group is R3. As for the crystal system: trigonal. The total magnetic moment is 3.0 μB/cell.